A geometry-optimized CaSmHgAu structure. Source: Alexandria, functional PBE.

## Properties
**Electronic total energy**: -12.907 eV/cell
**V**: 102.32 Å³/cell

Lattice parameters (Å, degrees): 5.250 5.250 5.250 60.00 60.00 60.00
Fractional positions:
Ca1 0.000 0.000 0.000
Sm1 0.500 0.500 0.500
Hg1 0.250 0.250 0.250
Au1 0.750 0.750 0.750